--- one ---
BeAsSeN2 | PBE-GGA | relaxed

Unit cell a=3.581 b=3.581 c=5.228 alpha=90.00 beta=90.00 gamma=90.00
Positions (direct):
Be: 0.000 0.000 0.000
As: 0.500 0.500 0.500
Se: 0.000 0.000 0.500
N: 0.000 0.500 0.000
N: 0.500 0.000 0.000

Summary:
spin magnetization: 0.99 Bohr magnetons per cell
symmetry: No. 123

---

--- two ---
BeAsSeN2 | PBE-GGA | relaxed

Unit cell a=3.563 b=3.563 c=6.612 alpha=90.00 beta=90.00 gamma=90.00
Positions (direct):
Be: 0.000 0.000 0.000
As: 0.500 0.500 0.500
Se: 0.500 0.500 0.000
N: 0.000 0.500 0.500
N: 0.500 0.000 0.500

Summary:
spin magnetization: 0.58 Bohr magnetons per cell
symmetry: No. 123

---

Most stable of them? two.

---

--- one ---
NaBe2As2 | PBE-GGA | relaxed

Unit cell a=3.534 b=3.534 c=14.145 alpha=90.00 beta=90.00 gamma=90.00
Positions (direct):
Na: 0.000 0.000 0.000
Na: 0.500 0.500 0.500
Be: 0.000 0.500 0.250
Be: 0.000 0.500 0.750
Be: 0.500 0.000 0.250
Be: 0.500 0.000 0.750
As: 0.000 0.000 0.354
As: 0.000 0.000 0.646
As: 0.500 0.500 0.146
As: 0.500 0.500 0.854

Summary:
spin magnetization: 0.00 Bohr magnetons per cell
symmetry: No. 139

---

--- two ---
NaBe2As2 | PBE-GGA | relaxed

Unit cell a=3.599 b=3.599 c=6.719 alpha=90.00 beta=90.00 gamma=90.00
Positions (direct):
Na: 0.000 0.000 0.000
Be: 0.000 0.500 0.500
Be: 0.500 0.000 0.500
As: 0.500 0.500 0.276
As: 0.500 0.500 0.724

Summary:
spin magnetization: 0.00 Bohr magnetons per cell
symmetry: No. 123

---

Most stable of them? one.

---

--- one ---
NaBeAs2Se | PBE-GGA | relaxed

Unit cell a=4.990 b=4.990 c=5.007 alpha=90.00 beta=90.00 gamma=90.00
Positions (direct):
Na: 0.000 0.000 0.000
Be: 0.500 0.500 0.500
As: 0.000 0.500 0.000
As: 0.500 0.000 0.000
Se: 0.000 0.000 0.500

Summary:
spin magnetization: 0.00 Bohr magnetons per cell
symmetry: No. 123

---

--- two ---
NaBeAs2Se | PBE-GGA | relaxed

Unit cell a=4.475 b=4.475 c=5.165 alpha=90.00 beta=90.00 gamma=90.00
Positions (direct):
Na: 0.000 0.000 0.000
Be: 0.500 0.500 0.500
As: 0.000 0.500 0.500
As: 0.500 0.000 0.500
Se: 0.500 0.500 0.000

Summary:
spin magnetization: 0.00 Bohr magnetons per cell
symmetry: No. 123

---

Most stable of them? two.

---

--- one ---
Be3NbAs | PBE-GGA | relaxed

Unit cell a=4.452 b=4.452 c=4.452 alpha=90.00 beta=90.00 gamma=90.00
Positions (direct):
Be: 0.000 0.000 0.500
Be: 0.000 0.500 0.000
Be: 0.500 0.000 0.000
Nb: 0.000 0.000 0.000
As: 0.500 0.500 0.500

Summary:
spin magnetization: 0.00 Bohr magnetons per cell
symmetry: No. 221

---

--- two ---
Be3NbAs | PBE-GGA | relaxed

Unit cell a=4.162 b=4.162 c=4.162 alpha=90.00 beta=90.00 gamma=90.00
Positions (direct):
Be: 0.000 0.000 0.500
Be: 0.000 0.500 0.000
Be: 0.500 0.000 0.000
Nb: 0.500 0.500 0.500
As: 0.000 0.000 0.000

Summary:
spin magnetization: 0.00 Bohr magnetons per cell
symmetry: No. 221

---

Most stable of them? two.

---

--- one ---
BeNbAs3 | PBE-GGA | relaxed

Unit cell a=4.988 b=4.988 c=4.988 alpha=90.00 beta=90.00 gamma=90.00
Positions (direct):
Be: 0.000 0.000 0.000
Nb: 0.500 0.500 0.500
As: 0.000 0.500 0.500
As: 0.500 0.000 0.500
As: 0.500 0.500 0.000

Summary:
spin magnetization: 0.00 Bohr magnetons per cell
symmetry: No. 221

---

--- two ---
BeNbAs3 | PBE-GGA | relaxed

Unit cell a=4.451 b=4.451 c=4.451 alpha=90.00 beta=90.00 gamma=90.00
Positions (direct):
Be: 0.000 0.000 0.000
Nb: 0.500 0.500 0.500
As: 0.000 0.000 0.500
As: 0.000 0.500 0.000
As: 0.500 0.000 0.000

Summary:
spin magnetization: 0.00 Bohr magnetons per cell
symmetry: No. 221

---

Most stable of them? two.

---

--- one ---
BeNbAsSe2 | PBE-GGA | relaxed

Unit cell a=4.619 b=4.619 c=4.274 alpha=90.00 beta=90.00 gamma=90.00
Positions (direct):
Be: 0.000 0.000 0.000
Nb: 0.500 0.500 0.500
As: 0.000 0.000 0.500
Se: 0.000 0.500 0.000
Se: 0.500 0.000 0.000

Summary:
spin magnetization: 0.00 Bohr magnetons per cell
symmetry: No. 123

---

--- two ---
BeNbAsSe2 | PBE-GGA | relaxed

Unit cell a=4.987 b=4.987 c=5.122 alpha=90.00 beta=90.00 gamma=90.00
Positions (direct):
Be: 0.000 0.000 0.000
Nb: 0.500 0.500 0.500
As: 0.500 0.500 0.000
Se: 0.000 0.500 0.500
Se: 0.500 0.000 0.500

Summary:
spin magnetization: 0.00 Bohr magnetons per cell
symmetry: No. 123

---

Most stable of them? one.

---

--- one ---
BeNbAs2Se | PBE-GGA | relaxed

Unit cell a=4.278 b=4.278 c=4.929 alpha=90.00 beta=90.00 gamma=90.00
Positions (direct):
Be: 0.000 0.000 0.000
Nb: 0.500 0.500 0.500
As: 0.000 0.500 0.000
As: 0.500 0.000 0.000
Se: 0.000 0.000 0.500

Summary:
spin magnetization: 0.00 Bohr magnetons per cell
symmetry: No. 123

---

--- two ---
BeNbAs2Se | PBE-GGA | relaxed

Unit cell a=5.041 b=5.041 c=4.953 alpha=90.00 beta=90.00 gamma=90.00
Positions (direct):
Be: 0.000 0.000 0.000
Nb: 0.500 0.500 0.500
As: 0.000 0.500 0.500
As: 0.500 0.000 0.500
Se: 0.500 0.500 0.000

Summary:
spin magnetization: 0.00 Bohr magnetons per cell
symmetry: No. 123

---

Most stable of them? one.

---

--- one ---
NdBeAs2 | PBE-GGA | relaxed

Unit cell a=4.334 b=4.334 c=22.419 alpha=90.00 beta=90.00 gamma=120.00
Positions (direct):
Nd: 0.000 0.000 0.000
Nd: 0.333 0.667 0.667
Nd: 0.667 0.333 0.333
Be: 0.000 0.000 0.500
Be: 0.333 0.667 0.167
Be: 0.667 0.333 0.833
As: 0.000 0.000 0.407
As: 0.000 0.000 0.593
As: 0.333 0.667 0.074
As: 0.333 0.667 0.259
As: 0.667 0.333 0.741
As: 0.667 0.333 0.926

Summary:
spin magnetization: 0.00 Bohr magnetons per cell
symmetry: No. 166

---

--- two ---
NdBeAs2 | PBE-GGA | relaxed

Unit cell a=3.982 b=3.982 c=19.782 alpha=90.00 beta=90.00 gamma=90.00
Positions (direct):
Nd: 0.000 0.000 0.116
Nd: 0.000 0.000 0.884
Nd: 0.500 0.500 0.384
Nd: 0.500 0.500 0.616
Be: 0.000 0.500 0.250
Be: 0.000 0.500 0.750
Be: 0.500 0.000 0.250
Be: 0.500 0.000 0.750
As: 0.000 0.000 0.315
As: 0.000 0.000 0.685
As: 0.000 0.500 0.000
As: 0.000 0.500 0.500
As: 0.500 0.000 0.000
As: 0.500 0.000 0.500
As: 0.500 0.500 0.185
As: 0.500 0.500 0.815

Summary:
spin magnetization: 0.00 Bohr magnetons per cell
symmetry: No. 139

---

Most stable of them? two.